Below is a relaxed structure of Th4FeAsSe2, with properties calculated at the PBE level.

Cell: 4.038 7.448 7.436 Å, 108.49 90.00 90.00°
Fractional coordinates of all 8 atoms:
Th 0.500 0.743 0.765
Th 0.000 0.714 0.210
Th 0.000 0.286 0.790
Th 0.500 0.257 0.235
Se 0.000 0.500 0.500
Se 0.500 0.000 0.500
As 0.000 0.000 0.000
Fe 0.500 0.500 0.000

Output
For the uncorrected formation energy, the calculation gives -9.04 eV/f.u. The calculation puts the total magnetization at 0.00 μB/f.u. For the density of states at the Fermi level, the calculation gives 5.9 states/eV per cell. Its space group is P2/m.

Below is a relaxed structure of Cd2MoIr, with properties calculated at the PBE level.

Cell: 10.182 10.182 10.182 Å, 16.28 16.28 16.28°
Fractional coordinates of all 4 atoms:
Mo 0.758 0.758 0.758
Cd 0.242 0.242 0.242
Cd 0.007 0.007 0.007
Ir 0.492 0.492 0.492

Output
The calculation puts the total magnetization at 0.00 μB/f.u. Its energy above the most stable polymorph in this dataset is 0.29 eV per formula unit. For the density of states at the Fermi level, the calculation gives 2.5 states/eV per cell. Its space group is R3m.

Below is a relaxed structure of K3Pu3NiS8, with properties calculated at the PBE level.

Cell: 7.858 7.860 8.734 Å, 116.77 90.00 119.99°
Fractional coordinates of all 15 atoms:
S 0.779 0.036 0.315
S 0.778 0.557 0.315
S 0.742 0.964 0.685
S 0.258 0.036 0.315
S 0.222 0.443 0.685
S 0.266 0.532 0.298
S 0.734 0.468 0.702
S 0.221 0.964 0.685
Pu 0.500 0.500 0.500
Pu 0.500 0.000 0.500
Pu 0.000 0.500 0.500
K 0.500 0.500 0.000
K 0.000 0.500 0.000
K 0.000 0.000 0.000
Ni 0.000 0.000 0.500

Output
For the uncorrected formation energy, the calculation gives -18.90 eV/f.u. The calculation puts the total magnetization at 10.94 μB/f.u. For the density of states at the Fermi level, the calculation gives 29.0 states/eV per cell. Its space group is R-3m.